[1]
LaMg2CdW: relaxed, PBE.

```
5
Lattice="5.151 0.000 0.000 0.000 5.151 0.000 0.000 0.000 5.294" Properties=species:S:1:pos:R:3 pbc="T T T"
La 0.000 0.000 0.000
Mg 0.000 2.576 2.647
Mg 2.576 0.000 2.647
Cd 2.576 2.576 0.000
W 2.576 2.576 2.647
```

Summary:
The total DFT energy (no corrections) is -0.1340 Ha/atom. The calculation puts the energy of formation at 750 meV/atom.

---

[2]
LaYMgCd: relaxed, PBE.

```
4
Lattice="0.000 3.863 3.863 3.863 0.000 3.863 3.863 3.863 0.000" Properties=species:S:1:pos:R:3 pbc="T T T"
La 0.000 0.000 0.000
Y 3.863 3.863 3.863
Mg 1.931 1.931 1.931
Cd 5.794 5.794 5.794
```

Summary:
The total DFT energy (no corrections) is -0.1357 Ha/atom. The calculation puts the energy of formation at -217 meV/atom.

---

[3]
LaYMgCd: relaxed, PBE.

```
4
Lattice="3.823 0.000 0.000 0.000 3.823 0.000 0.000 0.000 7.873" Properties=species:S:1:pos:R:3 pbc="T T T"
La 0.000 0.000 0.000
Y 0.000 0.000 3.911
Mg 1.911 1.911 5.756
Cd 1.911 1.911 2.142
```

Summary:
The total DFT energy (no corrections) is -0.1358 Ha/atom. The calculation puts the energy of formation at -219 meV/atom.

---

[4]
LaMg2Zn4Cd: relaxed, PBE.

```
8
Lattice="2.317 1.338 8.984 -2.317 1.338 8.984 0.000 -2.675 8.984" Properties=species:S:1:pos:R:3 pbc="T T T"
La 0.000 0.000 0.000
Mg 0.000 0.000 6.541
Mg 0.000 0.000 20.409
Zn 0.000 0.000 3.302
Zn 0.000 0.000 10.637
Zn 0.000 0.000 16.313
Zn 0.000 0.000 23.649
Cd 0.000 0.000 13.475
```

Summary:
The total DFT energy (no corrections) is -0.0706 Ha/atom. The calculation puts the energy of formation at -154 meV/atom.

---

[5]
La2MgZn4Cd3: relaxed, PBE.

```
10
Lattice="4.459 0.000 0.000 0.000 4.459 0.000 0.000 0.000 11.634" Properties=species:S:1:pos:R:3 pbc="T T T"
La 0.000 2.229 2.782
La 2.229 0.000 8.852
Mg 0.000 0.000 5.817
Zn 0.000 0.000 0.000
Zn 0.000 2.229 7.486
Zn 2.229 0.000 4.148
Zn 2.229 2.229 0.000
Cd 0.000 2.229 10.122
Cd 2.229 0.000 1.512
Cd 2.229 2.229 5.817
```

Summary:
The total DFT energy (no corrections) is -0.0800 Ha/atom. The calculation puts the energy of formation at -248 meV/atom.

---

[6]
LaMg2ZnCd4: relaxed, PBE.

```
8
Lattice="2.455 1.417 9.007 -2.455 1.417 9.007 0.000 -2.835 9.007" Properties=species:S:1:pos:R:3 pbc="T T T"
La 0.000 0.000 0.000
Mg 0.000 0.000 6.691
Mg 0.000 0.000 20.329
Zn 0.000 0.000 13.510
Cd 0.000 0.000 3.500
Cd 0.000 0.000 10.643
Cd 0.000 0.000 16.377
Cd 0.000 0.000 23.519
```

Summary:
The total DFT energy (no corrections) is -0.0657 Ha/atom. The calculation puts the energy of formation at -155 meV/atom.

---

[7]
LaMg2ZnCd2: relaxed, PBE.

```
6
Lattice="-2.683 2.683 5.875 2.683 -2.683 5.875 2.683 2.683 -5.875" Properties=species:S:1:pos:R:3 pbc="T T T"
La 0.000 0.000 0.000
Mg 2.683 0.000 2.938
Mg 0.000 2.683 2.938
Zn 0.000 0.000 5.875
Cd 0.000 0.000 3.358
Cd 0.000 0.000 8.392
```

Summary:
The total DFT energy (no corrections) is -0.0635 Ha/atom. The calculation puts the energy of formation at 142 meV/atom.

---

[8]
LaMnCd3: relaxed, PBE.

```
5
Lattice="5.017 0.000 0.000 0.000 5.017 0.000 0.000 0.000 5.017" Properties=species:S:1:pos:R:3 pbc="T T T"
La 0.000 0.000 0.000
Mn 2.509 2.509 2.509
Cd 0.000 2.509 2.509
Cd 2.509 0.000 2.509
Cd 2.509 2.509 0.000
```

Summary:
The total DFT energy (no corrections) is -0.1131 Ha/atom. The calculation puts the energy of formation at 290 meV/atom.